A plane-wave DFT calculation with PBE was carried out for Rb3Ce2PaTe6 after structural relaxation.

Calculated values
- ΔE_f (raw) (eV/atom) = -1.188
- total energy (eV per atom) = -4.781
- symmetry = No. 12

```
data_Rb3Ce2PaTe6
_symmetry_space_group_name_H-M 'P 1'
_symmetry_Int_Tables_number 1
_cell_length_a 8.0056
_cell_length_b 8.0056
_cell_length_c 9.0143
_cell_angle_alpha 98.52
_cell_angle_beta 98.52
_cell_angle_gamma 120.00
loop_
_symmetry_equiv_pos_as_xyz
'x,y,z'
loop_
_atom_site_label
_atom_site_type_symbol
_atom_site_fract_x
_atom_site_fract_y
_atom_site_fract_z
_atom_site_occupancy
Rb1 Rb 0.0000 0.0000 0.0000 1
Rb2 Rb 0.3309 0.6691 0.0000 1
Rb3 Rb 0.6691 0.3309 0.0000 1
Ce1 Ce 0.1663 0.8337 0.5000 1
Ce2 Ce 0.8337 0.1663 0.5000 1
Pa1 Pa 0.5000 0.5000 0.5000 1
Te1 Te 0.1070 0.4319 0.2953 1
Te2 Te 0.2440 0.2440 0.7054 1
Te3 Te 0.4319 0.1070 0.2953 1
Te4 Te 0.5681 0.8930 0.7047 1
Te5 Te 0.7560 0.7560 0.2946 1
Te6 Te 0.8930 0.5681 0.7047 1
```